# 1
Density functional theory data (PBE) for a geometry-optimized PrSm2GaO structure.

abc: 4.968 4.833 4.833
angles: 90.00 90.00 90.00
Fractional coordinates of all 5 atoms:
Sm1 0.000 0.500 0.000
O1 0.000 0.000 0.000
Ga1 0.500 0.500 0.500
Sm2 0.000 0.000 0.500
Pr1 0.500 0.000 0.000

Results
The symmetry is P4/mmm (123).

---

# 2
Density functional theory data (PBE) for a geometry-optimized Pr2Sm4Ga3O2 structure.

abc: 4.775 4.775 12.445
angles: 101.06 101.06 90.00
Fractional coordinates of all 11 atoms:
O1 0.599 0.599 0.199
Pr1 0.298 0.298 0.597
Sm1 0.582 0.082 0.164
Ga1 0.169 0.169 0.338
Pr2 0.702 0.702 0.403
O2 0.401 0.401 0.801
Ga2 0.831 0.831 0.662
Ga3 0.000 0.000 0.000
Sm2 0.418 0.918 0.836
Sm3 0.082 0.582 0.164
Sm4 0.918 0.418 0.836

Results
The symmetry is I4/mmm (139).

---

# 3
Density functional theory data (PBE) for a geometry-optimized Pr4GaSnO structure.

abc: 6.759 6.763 9.230
angles: 90.00 111.48 90.00
Fractional coordinates of all 14 atoms:
Pr1 0.920 0.250 0.840
Pr2 0.000 0.500 0.500
Ga1 0.382 0.250 0.764
O1 0.771 0.250 0.543
Sn1 0.109 0.250 0.219
Sn2 0.891 0.750 0.781
Pr3 0.500 0.000 0.500
Pr4 0.562 0.250 0.123
Ga2 0.618 0.750 0.236
O2 0.229 0.750 0.457
Pr5 0.500 0.500 0.500
Pr6 0.080 0.750 0.160
Pr7 0.000 0.000 0.500
Pr8 0.438 0.750 0.877

Results
The symmetry is Cmcm (63).

---

# 4
Density functional theory data (PBE) for a geometry-optimized SrPrGa3O7 structure.

abc: 8.099 8.099 5.374
angles: 90.00 90.00 90.31
Fractional coordinates of all 24 atoms:
O1 0.151 0.151 0.303
Sr1 0.162 0.838 0.490
O2 0.370 0.630 0.695
Ga1 0.855 0.855 0.966
Ga2 0.642 0.358 0.033
Pr1 0.338 0.338 0.512
O3 0.418 0.835 0.204
Ga3 0.500 0.000 0.999
Pr2 0.662 0.662 0.512
O4 0.582 0.165 0.204
Ga4 0.000 0.500 0.999
Ga5 0.358 0.642 0.033
O5 0.905 0.658 0.792
O6 0.342 0.095 0.792
O7 0.095 0.342 0.792
O8 0.835 0.418 0.204
O9 0.658 0.905 0.792
Sr2 0.838 0.162 0.490
O10 0.165 0.582 0.204
Ga6 0.145 0.145 0.966
O11 0.000 0.000 0.817
O12 0.849 0.849 0.303
O13 0.500 0.500 0.206
O14 0.630 0.370 0.695

Results
The symmetry is Cmm2 (35).

---

no.,Fermi-level density of states (states/eV/cell),uncorrected formation energy (eV/atom)
1,1.438,-1.372
2,5.852,-1.317
3,11.369,-1.155
4,0.000,-2.422